{"formula": "TlHAu", "functional": "PBE-GGA", "state": "optimized geometry", "lattice_angstrom": [[-0.206, 2.739, -2.591], [-3.086, -1.612, -1.462], [-3.152, 3.915, 7.046]], "species": ["H", "H", "Au", "Au", "Tl", "Tl"], "fractional_positions": [[0.846, 0.846, 0.593], [0.154, 0.154, 0.407], [0.737, 0.737, 0.966], [0.263, 0.263, 0.034], [0.734, 0.734, 0.322], [0.266, 0.266, 0.678]], "e_tot_ev_per_atom": -2.673}

***

{"formula": "YSc2Ni", "functional": "PBE-GGA", "state": "optimized geometry", "lattice_angstrom": [[3.477, -0.001, 0.000], [-1.739, 5.771, 0.000], [0.000, 0.000, 9.019]], "species": ["Sc", "Sc", "Sc", "Sc", "Ni", "Ni", "Y", "Y"], "fractional_positions": [[0.360, 0.719, 0.931], [0.640, 0.281, 0.069], [0.640, 0.281, 0.431], [0.360, 0.719, 0.569], [0.234, 0.468, 0.250], [0.766, 0.532, 0.750], [0.073, 0.145, 0.750], [0.927, 0.855, 0.250]], "delta_e_f_ev_per_atom": -0.23, "e_tot_ev_per_atom": -6.458}

***

{"formula": "CsCaNi2Br8", "functional": "PBE-GGA", "state": "optimized geometry", "lattice_angstrom": [[-1.368, -6.548, 1.646], [2.678, 1.514, -6.164], [9.397, -0.999, 3.838]], "species": ["Br", "Br", "Br", "Br", "Br", "Br", "Br", "Br", "Cs", "Ca", "Ni", "Ni"], "fractional_positions": [[0.337, 0.335, 0.323], [0.663, 0.665, 0.677], [0.998, 0.663, 0.323], [0.335, 0.998, 0.677], [0.333, 0.667, 0.967], [0.002, 0.337, 0.677], [0.665, 0.002, 0.323], [0.667, 0.333, 0.033], [0.000, 0.000, 0.000], [0.000, 0.000, 0.500], [0.667, 0.333, 0.261], [0.333, 0.667, 0.739]], "e_tot_ev_per_atom": -3.231, "formation_energy_uncorrected_ev_per_atom": -0.91}

***

{"formula": "ReAg4Hg", "functional": "PBE-GGA", "state": "optimized geometry", "lattice_angstrom": [[-0.517, -5.029, 1.983], [-3.155, -0.901, 4.327], [-4.692, -2.674, -0.570]], "species": ["Ag", "Ag", "Ag", "Ag", "Hg", "Re"], "fractional_positions": [[0.375, 0.375, 0.375], [0.876, 0.375, 0.375], [0.375, 0.375, 0.876], [0.375, 0.876, 0.375], [0.750, 0.750, 0.750], [0.000, 0.000, 0.000]], "delta_e_f_ev_per_atom": 0.81, "e_tot_ev_per_atom": -3.215}

***

{"formula": "CaNiBr2N", "functional": "PBE-GGA", "state": "optimized geometry", "lattice_angstrom": [[-4.993, -0.296, -1.912], [0.103, -3.523, 0.275], [-1.928, 0.333, 4.984]], "species": ["Ni", "Br", "Br", "Ca", "N"], "fractional_positions": [[0.000, 0.000, 0.000], [0.500, 0.000, 0.000], [0.000, 0.000, 0.500], [0.500, 0.500, 0.500], [0.000, 0.500, 0.000]], "e_tot_ev_per_atom": -4.232, "formation_energy_uncorrected_ev_per_atom": -0.34}

***

{"formula": "La5YHo", "functional": "PBE-GGA", "state": "optimized geometry", "lattice_angstrom": [[6.129, 0.000, 1.359], [3.065, 8.891, 0.679], [-0.202, 0.000, 9.193]], "species": ["La", "La", "La", "La", "La", "La", "La", "La", "La", "La", "Ho", "Ho", "Y", "Y"], "fractional_positions": [[0.389, 0.629, 0.851], [0.456, 0.303, 0.535], [0.241, 0.303, 0.965], [0.759, 0.697, 0.035], [0.019, 0.371, 0.351], [0.981, 0.629, 0.649], [0.139, 0.722, 0.250], [0.544, 0.697, 0.465], [0.861, 0.278, 0.750], [0.611, 0.371, 0.149], [0.490, 0.020, 0.250], [0.510, 0.980, 0.750], [0.000, 0.000, 0.500], [0.000, 0.000, 0.000]], "delta_e_f_ev_per_atom": 0.16, "e_tot_ev_per_atom": -4.932}

***

{"formula": "Er8TcOs2", "functional": "PBE-GGA", "state": "optimized geometry", "lattice_angstrom": [[5.569, 0.060, -0.933], [-1.839, 6.720, -2.775], [-0.044, -0.057, 7.499]], "species": ["Os", "Os", "Er", "Er", "Er", "Er", "Er", "Er", "Er", "Er", "Tc"], "fractional_positions": [[0.496, 0.320, 0.692], [0.496, 0.692, 0.320], [0.993, 0.220, 0.779], [0.580, 0.073, 0.330], [0.395, 0.935, 0.677], [0.580, 0.330, 0.073], [0.395, 0.677, 0.935], [0.806, 0.643, 0.643], [0.182, 0.362, 0.362], [0.993, 0.779, 0.220], [0.084, 0.003, 0.003]], "delta_e_f_ev_per_atom": -0.13, "e_tot_ev_per_atom": -6.437}

***

{"formula": "Ru3Se", "functional": "PBE-GGA", "state": "optimized geometry", "lattice_angstrom": [[4.587, 0.032, 0.000], [-1.147, 4.442, 0.000], [0.000, 0.000, 2.861]], "species": ["Se", "Ru", "Ru", "Ru"], "fractional_positions": [[0.000, 0.000, 0.000], [0.500, 0.000, 0.500], [0.000, 0.500, 0.500], [0.500, 0.500, 0.000]], "e_tot_ev_per_atom": -7.403, "formation_energy_uncorrected_ev_per_atom": 0.43}